No. 1
## GaReBr2 (PBE)

Data for an optimized crystal structure of GaReBr2.

Lattice parameters (Å, degrees): 8.983 8.983 5.076 90.00 90.00 90.00
Element x y z (fractional)
Ga1 0.000 0.000 0.000
Ga2 0.000 0.500 0.250
Ga3 0.500 0.000 0.750
Ga4 0.500 0.500 0.500
Re1 0.000 0.000 0.500
Re2 0.000 0.500 0.750
Re3 0.500 0.000 0.250
Re4 0.500 0.500 0.000
Br1 0.111 0.250 0.625
Br2 0.250 0.611 0.875
Br3 0.250 0.889 0.375
Br4 0.389 0.250 0.125
Br5 0.611 0.750 0.125
Br6 0.750 0.111 0.375
Br7 0.750 0.389 0.875
Br8 0.889 0.750 0.625

Output
Excess energy over the best structure of this formula in the dataset ... 0 meV per atom
E_form (uncorrected) ... 38.2 kJ per mole of atoms
SG ... I-42d (122)
Magnetic moment ... 0.00 Bohr magnetons per cell

=====

No. 2
## Ho4Ga2H (PBE)

Data for an optimized crystal structure of Ho4Ga2H.

Lattice parameters (Å, degrees): 4.451 4.451 15.969 90.00 90.00 90.00
Element x y z (fractional)
Ho1 0.000 0.000 0.180
Ho2 0.000 0.000 0.820
Ho3 0.000 0.500 0.000
Ho4 0.000 0.500 0.500
Ho5 0.500 0.000 0.000
Ho6 0.500 0.000 0.500
Ho7 0.500 0.500 0.320
Ho8 0.500 0.500 0.680
Ga1 0.000 0.000 0.367
Ga2 0.000 0.000 0.633
Ga3 0.500 0.500 0.133
Ga4 0.500 0.500 0.867
H1 0.000 0.000 0.000
H2 0.500 0.500 0.500

Output
Excess energy over the best structure of this formula in the dataset ... 56 meV per atom
SG ... I4/mmm (139)
Magnetic moment ... 0.00 Bohr magnetons per cell